[1]
Ac2La2Dy5 | PBE-GGA | optimized geometry

As for the formation energy from the elements: 0.2201 eV per atom. As for the symmetry: C2/m (12).

Cell: 3.645 13.035 8.429 Å, 58.35 90.00 98.04°
Atoms (fractional coordinates):
Ac 0.815 0.630 0.233
Ac 0.185 0.370 0.767
Dy 0.690 0.380 0.146
Dy 0.097 0.194 0.534
Dy 0.000 0.000 0.000
Dy 0.903 0.806 0.466
Dy 0.310 0.620 0.854
La 0.548 0.095 0.253
La 0.452 0.905 0.747

=====

[2]
PrSmSiAu | PBE-GGA | optimized geometry

As for the symmetry: F-43m (216).

Cell: 5.208 5.208 5.208 Å, 60.00 60.00 60.00°
Atoms (fractional coordinates):
Pr 0.000 0.000 0.000
Si 0.750 0.750 0.750
Au 0.250 0.250 0.250
Sm 0.500 0.500 0.500

=====

no.,electronic total energy (eV for the cell shown),size of the total moment (μB/cell)
1,-39.10,0.000
2,-20.65,0.732